Record 1
This record from the Alexandria database describes Ta4W3 at its PBEsol-relaxed geometry. The functional is meta-GGA SCAN.

Cell and atoms, written as POSCAR:
```
Ta4W3
1.0
-5.082 0.486 0.917
2.979 -2.704 3.274
0.911 4.334 2.751
W Ta
3 4
direct
0.000 0.500 0.000
0.500 0.000 0.000
0.500 0.500 0.000
0.333 0.667 0.500
0.667 0.333 0.500
0.000 0.000 0.746
0.000 0.000 0.254
```

## Properties
- M_tot (μB/cell) = 0.0
- energy relative to the elements (eV per atom) = 0.0165
- energy above the lowest structure with this stoichiometry (eV per atom) = 0.0987
- space-group type = P6/mmm, No. 191
- crystal system = hexagonal

Record 2
This record from the Alexandria database describes Ta4W at its PBEsol-relaxed geometry. The functional is meta-GGA SCAN.

Cell and atoms, written as POSCAR:
```
Ta4W
1.0
5.165 0.000 0.000
-1.722 4.869 0.000
-1.722 -2.435 4.217
W Ta
1 4
direct
0.000 0.000 0.000
0.500 0.500 0.500
0.500 0.000 0.000
0.000 0.000 0.500
0.000 0.500 0.000
```

## Properties
- M_tot (μB/cell) = 0.0
- energy relative to the elements (eV per atom) = 1.2574
- energy above the lowest structure with this stoichiometry (eV per atom) = 1.3099
- space-group type = Im-3m, No. 229
- crystal system = cubic

Record 3
This record from the Alexandria database describes Ta5W3 at its PBEsol-relaxed geometry. The functional is meta-GGA SCAN.

Cell and atoms, written as POSCAR:
```
Ta5W3
1.0
-1.819 6.115 0.892
-2.740 -1.632 5.601
5.545 1.203 3.058
Ta W
10 6
direct
0.253 0.750 0.250
0.747 0.250 0.250
0.253 0.250 0.750
0.000 0.503 0.996
0.000 0.996 0.996
0.253 0.250 0.250
0.500 0.504 0.504
0.000 0.996 0.503
0.747 0.250 0.750
0.747 0.750 0.250
0.253 0.750 0.750
0.500 0.503 0.997
0.500 0.997 0.997
0.500 0.997 0.503
0.747 0.750 0.750
0.000 0.503 0.503
```

## Properties
- M_tot (μB/cell) = 0.0
- energy relative to the elements (eV per atom) = -0.0607
- energy above the lowest structure with this stoichiometry (eV per atom) = 0.0127
- space-group type = Amm2, No. 38
- crystal system = orthorhombic

Record 4
This record from the Alexandria database describes Ta4W5 at its PBEsol-relaxed geometry. The functional is meta-GGA SCAN.

Cell and atoms, written as POSCAR:
```
Ta4W5
1.0
3.190 0.000 0.000
1.595 6.800 0.000
1.595 0.000 6.800
Ta W
4 5
direct
0.000 0.672 0.328
0.672 0.328 0.328
0.000 0.328 0.672
0.328 0.672 0.672
0.666 0.000 0.667
0.666 0.667 0.000
0.334 0.333 0.000
0.000 0.000 0.000
0.334 0.000 0.333
```

## Properties
- M_tot (μB/cell) = 0.0
- energy relative to the elements (eV per atom) = -0.0839
- space-group type = I4/mmm, No. 139
- crystal system = tetragonal

Record 5
This record from the Alexandria database describes YTaW at its PBEsol-relaxed geometry. The functional is meta-GGA SCAN.

Cell and atoms, written as POSCAR:
```
YTaW
1.0
3.367 0.000 0.000
0.000 3.367 0.000
-1.684 -1.684 5.393
Y Ta W
1 1 1
direct
0.329 0.329 0.657
0.029 0.029 0.059
0.642 0.642 0.284
```

## Properties
- M_tot (μB/cell) = 0.0
- energy relative to the elements (eV per atom) = 0.2874
- energy above the lowest structure with this stoichiometry (eV per atom) = 0.0000
- space-group type = I4mm, No. 107
- crystal system = tetragonal

Record 6
This record from the Alexandria database describes YTaW at its PBEsol-relaxed geometry. The functional is meta-GGA SCAN.

Cell and atoms, written as POSCAR:
```
YTaW
1.0
-0.834 -2.086 -3.939
2.887 -3.127 -1.565
-1.198 -4.373 -0.040
Ta Y W
1 1 1
direct
0.000 0.000 0.000
0.250 0.250 0.250
0.500 0.500 0.500
```

## Properties
- M_tot (μB/cell) = 0.0
- energy relative to the elements (eV per atom) = 2.1881
- energy above the lowest structure with this stoichiometry (eV per atom) = 1.9007
- space-group type = F-43m, No. 216
- crystal system = cubic

Record 7
This record from the Alexandria database describes Y3TaW at its PBEsol-relaxed geometry. The functional is meta-GGA SCAN.

Cell and atoms, written as POSCAR:
```
Y3TaW
1.0
5.222 0.000 0.000
0.000 5.222 0.000
0.000 0.000 5.222
Y Ta W
3 1 1
direct
0.000 0.500 0.000
0.000 0.000 0.500
0.500 0.000 0.000
0.500 0.500 0.500
0.000 0.000 0.000
```

## Properties
- M_tot (μB/cell) = 2.9
- energy relative to the elements (eV per atom) = 1.2747
- space-group type = Pm-3m, No. 221
- crystal system = cubic

Record 8
This record from the Alexandria database describes YTa2W at its PBEsol-relaxed geometry. The functional is meta-GGA SCAN.

Cell and atoms, written as POSCAR:
```
YTa2W
1.0
-0.510 -3.212 0.147
3.221 -0.680 -3.697
2.214 1.526 4.962
Ta Y W
2 1 1
direct
0.225 0.225 0.449
0.775 0.775 0.551
0.000 0.500 0.000
0.500 0.000 0.000
```

## Properties
- M_tot (μB/cell) = 0.0
- energy relative to the elements (eV per atom) = 0.3873
- energy above the lowest structure with this stoichiometry (eV per atom) = 0.0753
- space-group type = Immm, No. 71
- crystal system = orthorhombic

Record 9
This record from the Alexandria database describes YTaW at its PBEsol-relaxed geometry. The functional is meta-GGA SCAN.

Cell and atoms, written as POSCAR:
```
YTaW
1.0
2.919 0.000 0.000
-1.459 2.528 0.000
0.000 0.000 7.851
Ta W Y
1 1 1
direct
0.000 0.000 0.984
0.333 0.667 0.678
0.667 0.333 0.338
```

## Properties
- M_tot (μB/cell) = 0.0
- energy relative to the elements (eV per atom) = 0.7849
- energy above the lowest structure with this stoichiometry (eV per atom) = 0.4975
- space-group type = P3m1, No. 156
- crystal system = trigonal

Record 10
This record from the Alexandria database describes YTa2W at its PBEsol-relaxed geometry. The functional is meta-GGA SCAN.

Cell and atoms, written as POSCAR:
```
YTa2W
1.0
2.914 -0.002 0.000
-1.117 2.692 0.000
0.000 0.000 9.763
W Ta Y
1 2 1
direct
0.500 0.500 0.500
0.000 0.000 0.282
0.000 0.000 0.718
0.500 0.500 0.000
```

## Properties
- M_tot (μB/cell) = 0.0
- energy relative to the elements (eV per atom) = 0.3119
- energy above the lowest structure with this stoichiometry (eV per atom) = 0.0000
- space-group type = Cmmm, No. 65
- crystal system = orthorhombic

Record 11
This record from the Alexandria database describes TaZn3W at its PBEsol-relaxed geometry. The functional is meta-GGA SCAN.

Cell and atoms, written as POSCAR:
```
TaZn3W
1.0
4.728 0.000 0.000
0.000 4.728 0.000
0.000 0.000 4.728
Ta Zn W
1 3 1
direct
0.000 0.000 0.000
0.500 0.000 0.000
0.000 0.500 0.000
0.000 0.000 0.500
0.500 0.500 0.500
```

## Properties
- M_tot (μB/cell) = 2.5
- energy relative to the elements (eV per atom) = 2.0849
- space-group type = Pm-3m, No. 221
- crystal system = cubic

Record 12
This record from the Alexandria database describes TaZn4W at its PBEsol-relaxed geometry. The functional is meta-GGA SCAN.

Cell and atoms, written as POSCAR:
```
TaZn4W
1.0
-0.630 2.943 -3.865
-3.900 -0.577 -2.909
-3.586 3.338 0.021
Zn Ta W
4 1 1
direct
0.876 0.375 0.375
0.375 0.375 0.375
0.375 0.876 0.375
0.375 0.375 0.876
0.750 0.750 0.750
0.000 0.000 0.000
```

## Properties
- M_tot (μB/cell) = 0.0
- energy relative to the elements (eV per atom) = -0.0570
- space-group type = F-43m, No. 216
- crystal system = cubic